Computed, not measured: crystalline Ca6H3N2O at its relaxed geometry at the PBE level of DFT.

## Properties
Volume: 15.8 Å³ per atom
Uncorrected energy: -56.16 eV per cell
Fermi-level density of states: 3.272 states/eV/f.u.

a = 3.552 Å, b = 7.116 Å, c = 7.920 Å
α = 103.10°, β = 102.96°, γ = 90.00°
Fractional positions:
Ca: 0.006 0.238 0.012
H: 0.500 0.500 0.000
Ca: 0.994 0.762 0.988
H: 0.833 0.159 0.667
N: 0.837 0.673 0.674
Ca: 0.338 0.899 0.676
Ca: 0.662 0.101 0.324
N: 0.163 0.327 0.326
O: 0.500 0.000 0.000
Ca: 0.327 0.434 0.654
Ca: 0.673 0.566 0.346
H: 0.167 0.841 0.333

Computed, not measured: crystalline BaGa3C at its relaxed geometry at the PBE level of DFT.

## Properties
Volume: 48.2 Å³ per atom
Uncorrected energy: -9.15 eV per cell
Polymorph energy (0 for the lowest one): 1604.6 meV per atom
Calculated formation energy: 2.22 eV/atom
Fermi-level density of states: 6.920 states/eV/f.u.

a = 6.225 Å, b = 6.225 Å, c = 6.225 Å
α = 90.00°, β = 90.00°, γ = 90.00°
Fractional positions:
Ga: 0.500 0.000 0.000
Ga: 0.000 0.000 0.500
Ba: 0.000 0.000 0.000
C: 0.500 0.500 0.500
Ga: 0.000 0.500 0.000

Computed, not measured: crystalline SiTePt2 at its relaxed geometry at the PBE level of DFT.

## Properties
Volume: 19.1 Å³ per atom
Uncorrected energy: -20.77 eV per cell
Polymorph energy (0 for the lowest one): 358.0 meV per atom
Formation energy (no corrections): -31 meV per atom
Fermi-level density of states: 2.057 states/eV/f.u.

a = 4.868 Å, b = 4.868 Å, c = 4.868 Å
α = 131.67°, β = 111.83°, γ = 87.90°
Fractional positions:
Si: 0.750 0.250 0.500
Pt: 0.947 0.947 0.000
Te: 0.250 0.750 0.500
Pt: 0.553 0.553 0.000